1.
Crystalline MgHgRu2 at its relaxed geometry, computed with PBE.

## Properties
Polymorph energy (0 for the lowest one): 0.374 eV per atom
Space group: Fm-3m (225)
Mass density: 10.77 g cm⁻³

Lattice parameters (Å, degrees): 4.533 4.533 4.533 60.00 60.00 60.00
Fractional positions:
Ru (0.250, 0.250, 0.250)
Ru (0.750, 0.750, 0.750)
Mg (0.000, 0.000, 0.000)
Hg (0.500, 0.500, 0.500)

2.
Crystalline NdDyScTl at its relaxed geometry, computed with PBE.

## Properties
Polymorph energy (0 for the lowest one): 0.000 eV per atom
Space group: Pmmm (47)
Mass density: 8.36 g cm⁻³

Lattice parameters (Å, degrees): 4.842 4.749 4.804 90.00 90.00 90.00
Fractional positions:
Nd (0.000, 0.000, 0.000)
Dy (0.000, 0.500, 0.500)
Sc (0.500, 0.500, 0.000)
Tl (0.500, 0.000, 0.500)

3.
Crystalline Li3MoCl8 at its relaxed geometry, computed with PBE.

## Properties
Space group: C222 (21)
Mass density: 2.21 g cm⁻³
Uncorrected formation energy: -14.9 eV per formula unit

Lattice parameters (Å, degrees): 6.359 6.359 7.677 90.00 90.00 103.87
Fractional positions:
Li (0.000, 0.500, 0.160)
Li (0.500, 0.500, 0.000)
Li (0.500, 0.000, 0.840)
Mo (0.500, 0.500, 0.500)
Cl (0.730, 0.270, 0.500)
Cl (0.737, 0.263, 0.000)
Cl (0.708, 0.723, 0.719)
Cl (0.723, 0.708, 0.281)
Cl (0.277, 0.292, 0.281)
Cl (0.292, 0.277, 0.719)
Cl (0.263, 0.737, 0.000)
Cl (0.270, 0.730, 0.500)

4.
Crystalline NaSm2Al at its relaxed geometry, computed with PBE.

## Properties
Polymorph energy (0 for the lowest one): 0.029 eV per atom
Space group: Fm-3m (225)
Mass density: 5.29 g cm⁻³

Lattice parameters (Å, degrees): 5.380 5.380 5.380 60.00 60.00 60.00
Fractional positions:
Na (0.500, 0.500, 0.500)
Al (0.000, 0.000, 0.000)
Sm (0.250, 0.250, 0.250)
Sm (0.750, 0.750, 0.750)

5.
Crystalline CeGa3PtRh at its relaxed geometry, computed with PBE.

## Properties
Space group: Cmcm (63)
E_tot: -5.233 eV/atom
Mass density: 8.38 g cm⁻³

Lattice parameters (Å, degrees): 5.968 7.898 6.722 125.98 90.00 90.00
Fractional positions:
Ce (0.750, 0.250, 0.501)
Ce (0.250, 0.750, 0.499)
Ga (0.250, 0.263, 0.527)
Ga (0.000, 0.251, 0.000)
Ga (0.500, 0.749, 0.000)
Ga (0.500, 0.251, 0.000)
Ga (0.000, 0.749, 0.000)
Ga (0.750, 0.737, 0.473)
Pt (0.250, 0.043, 0.087)
Pt (0.750, 0.957, 0.913)
Rh (0.250, 0.479, 0.959)
Rh (0.750, 0.521, 0.041)

6.
Crystalline CuReSe2 at its relaxed geometry, computed with PBE.

## Properties
Polymorph energy (0 for the lowest one): 0.059 eV per atom
Space group: Cm (8)
Mass density: 8.31 g cm⁻³
Uncorrected formation energy: 1.0 eV per formula unit

Lattice parameters (Å, degrees): 4.169 4.169 6.722 80.77 80.77 45.06
Fractional positions:
Cu (0.499, 0.499, 0.498)
Re (0.747, 0.747, 0.707)
Se (0.022, 0.022, 0.898)
Se (0.232, 0.232, 0.397)

7.
Crystalline FeOsC3 at its relaxed geometry, computed with PBE.

## Properties
Polymorph energy (0 for the lowest one): 0.000 eV per atom
Space group: Pm-3m (221)
Mass density: 7.53 g cm⁻³

Lattice parameters (Å, degrees): 3.963 3.963 3.963 90.00 90.00 90.00
Fractional positions:
C (0.000, 0.500, 0.000)
C (0.000, 0.000, 0.500)
C (0.500, 0.000, 0.000)
Os (0.000, 0.000, 0.000)
Fe (0.500, 0.500, 0.500)

8.
Crystalline InRu2Br at its relaxed geometry, computed with PBE.

## Properties
Polymorph energy (0 for the lowest one): 0.455 eV per atom
Space group: Cmmm (65)
Mass density: 9.25 g cm⁻³
Uncorrected formation energy: 2.9 eV per formula unit

Lattice parameters (Å, degrees): 3.077 3.077 8.819 90.00 90.00 121.48
Fractional positions:
Ru (0.000, 0.000, 0.006)
Ru (0.000, 0.000, 0.494)
Br (0.500, 0.500, 0.250)
In (0.500, 0.500, 0.750)

9.
Crystalline NpPd2PtAu at its relaxed geometry, computed with PBE.

## Properties
Space group: P2_1/m (11)
E_tot: -6.834 eV/atom
Mass density: 15.09 g cm⁻³

Lattice parameters (Å, degrees): 4.160 6.732 6.689 98.33 90.00 90.00
Fractional positions:
Np (0.250, 0.775, 0.805)
Np (0.750, 0.225, 0.195)
Pd (0.750, 0.641, 0.473)
Pd (0.250, 0.359, 0.527)
Pd (0.750, 0.466, 0.828)
Pd (0.250, 0.534, 0.172)
Pt (0.250, 0.201, 0.894)
Pt (0.750, 0.799, 0.106)
Au (0.250, 0.931, 0.370)
Au (0.750, 0.069, 0.630)

10.
Crystalline La3TbTl at its relaxed geometry, computed with PBE.

## Properties
Polymorph energy (0 for the lowest one): 0.267 eV per atom
Space group: C2/m (12)
Mass density: 6.99 g cm⁻³

Lattice parameters (Å, degrees): 6.576 8.372 8.426 119.79 109.87 90.00
Fractional positions:
La (0.000, 0.000, 0.000)
La (0.500, 0.685, 0.000)
La (0.510, 0.710, 0.420)
La (0.490, 0.290, 0.580)
La (0.000, 0.500, 0.000)
La (0.500, 0.315, 0.000)
Tb (0.000, 0.500, 0.500)
Tb (0.000, 0.000, 0.500)
Tl (0.343, 0.880, 0.760)
Tl (0.657, 0.120, 0.240)